A plane-wave DFT calculation with PBE was carried out for a geometry-optimized Zr2ZnP structure.

```
data_Zr2ZnP
_chemical_formula_sum 'Zr2 Zn1 P1'
_space_group_name_H-M_alt 'P m m m'
_space_group_IT_number 47
_space_group_name_Hall '-P 2 2'
_cell_length_a 3.759
_cell_length_b 4.121
_cell_length_c 4.629
_cell_angle_alpha 90.00
_cell_angle_beta 90.00
_cell_angle_gamma 90.00
loop_
_atom_site_label
_atom_site_fract_x
_atom_site_fract_y
_atom_site_fract_z
_atom_site_occupancy
Zr1 0.000 0.000 0.000 1
Zr2 0.000 0.500 0.500 1
Zn1 0.500 0.000 0.500 1
P1 0.500 0.500 0.000 1
```

Computed properties:
DFT formation energy (eV/atom): -0.52
D(E_F) (states/eV/f.u.): 2.9